Material: ZrSi2Ru
Method: DFT, GGA-PBE
State: optimized geometry

a b c (Å): 6.9625 4.0248 5.1054
angles (deg): 90.00 117.14 90.00
Closest atoms and distances in Å follow each position.
Space group C2/m (No. 12)
Unique sites:
Zr 0.0000 0.0000 0.0000 (multiplicity 2)  8 Si 2.81-2.97
Si 0.2176 0.0000 0.6530 (multiplicity 4)  3 Ru 2.42, 3 Si 2.70-2.71
Ru 0.0000 0.5000 0.5000 (multiplicity 2)  6 Si 2.42

Calculated values
Magnetic moment   0.0 μB per cell

***

Material: Zr2SiRu
Method: DFT, GGA-PBE
State: optimized geometry

a b c (Å): 5.8149 7.6352 3.1859
angles (deg): 90.00 90.00 90.00
Closest atoms and distances in Å follow each position.
Space group Cmmm (No. 65)
Unique sites:
Zr 0.2500 0.2500 0.0000 (multiplicity 4)  4 Ru 2.88, 4 Si 2.88, 4 Zr 2.91-3.19
Si 0.0000 0.0000 0.5000 (multiplicity 2)  8 Zr 2.88, 2 Ru 2.91, 2 Si 3.19
Ru 0.0000 0.5000 0.5000 (multiplicity 2)  8 Zr 2.88, 2 Si 2.91, 2 Ru 3.19

Calculated values
Magnetic moment   0.0 μB per cell

***

Material: ZrSi2Ru
Method: DFT, GGA-PBE
State: optimized geometry

a b c (Å): 2.9902 2.9902 24.7891
angles (deg): 90.00 90.00 120.00
Closest atoms and distances in Å follow each position.
Space group R-3m (No. 166, hexagonal axes)
Unique sites:
Zr 0.0000 0.0000 0.0000 (multiplicity 3)  6 Si 2.91, 6 Zr 2.99
Si 0.0000 0.0000 0.2390 (multiplicity 6)  3 Ru 2.49
Ru 0.0000 0.0000 0.5000 (multiplicity 3)  6 Si 2.49

Calculated values
Magnetic moment   0.0 μB per cell

***

Material: Zr2SiRu
Method: DFT, GGA-PBE
State: optimized geometry

a b c (Å): 3.4713 3.4713 5.9082
angles (deg): 90.00 90.00 90.00
Closest atoms and distances in Å follow each position.
Space group P4/mmm (No. 123)
Unique sites:
Zr 0.0000 0.0000 0.2476 (multiplicity 2)  4 Si 2.86, 4 Ru 2.87, 2 Zr 2.93-2.98
Si 0.5000 0.5000 0.0000 (multiplicity 1)  8 Zr 2.86, 2 Ru 2.95
Ru 0.5000 0.5000 0.5000 (multiplicity 1)  8 Zr 2.87, 2 Si 2.95

Calculated values
Magnetic moment   0.0 μB per cell

***

Material: Zr2SiRu
Method: DFT, GGA-PBE
State: optimized geometry

a b c (Å): 4.3028 4.3028 7.6574
angles (deg): 90.00 90.00 90.00
Closest atoms and distances in Å follow each position.
Space group I4/mmm (No. 139)
Unique sites:
Zr 0.0000 0.5000 0.2500 (multiplicity 4)  4 Ru 2.88, 4 Si 2.88, 4 Zr 3.04
Si 0.0000 0.0000 0.0000 (multiplicity 2)  8 Zr 2.88, 4 Ru 3.04
Ru 0.0000 0.0000 0.5000 (multiplicity 2)  8 Zr 2.88, 4 Si 3.04

Calculated values
Magnetic moment   0.0 μB per cell

***

Material: Zr2SiRu
Method: DFT, GGA-PBE
State: optimized geometry

a b c (Å): 7.2669 7.2669 5.8037
angles (deg): 90.00 90.00 90.00
Closest atoms and distances in Å follow each position.
Space group I-42d (No. 122)
Unique sites:
Zr 0.2349 0.7500 0.1250 (multiplicity 8)  2 Ru 2.60, 2 Si 2.75
Si 0.0000 0.0000 0.5000 (multiplicity 4)  4 Zr 2.75, 2 Ru 2.90
Ru 0.0000 0.0000 0.0000 (multiplicity 4)  4 Zr 2.60, 2 Si 2.90

Calculated values
Magnetic moment   0.0 μB per cell

***

Material: ZrSi2Ru
Method: DFT, GGA-PBE
State: optimized geometry

a b c (Å): 6.2726 6.2726 6.2726
angles (deg): 90.00 90.00 90.00
Closest atoms and distances in Å follow each position.
Space group Fm-3m (No. 225)
Unique sites:
Zr 0.0000 0.0000 0.0000 (multiplicity 4)  8 Si 2.72
Si 0.2500 0.2500 0.2500 (multiplicity 8)  4 Zr 2.72, 4 Ru 2.72
Ru 0.0000 0.0000 0.5000 (multiplicity 4)  8 Si 2.72

Calculated values
Magnetic moment   3.2 μB per cell

***

Material: ZrSi2Ru4
Method: DFT, GGA-PBE
State: optimized geometry

a b c (Å): 4.7212 4.7212 12.0719
angles (deg): 90.00 90.00 90.00
Closest atoms and distances in Å follow each position.
Space group I4/mmm (No. 139)
Unique sites:
Zr 0.0000 0.0000 0.0000 (multiplicity 2)  6 Ru 2.36-2.58
Si 0.0000 0.0000 0.3992 (multiplicity 4)  1 Ru 2.24, 1 Si 2.43
Ru 0.0000 0.0000 0.2138 (multiplicity 4)  1 Si 2.24
Ru 0.0000 0.5000 0.0000 (multiplicity 4)  2 Zr 2.36

Calculated values
Magnetic moment   4.4 μB per cell

***

no.,formation energy from raw total energies (kJ per mole of atoms),volume (Å³ per cell)
1,-66.9,127.3
2,-48.3,141.4
3,-27.1,192.0
4,-48.0,71.2
5,-45.0,141.8
6,-4.4,306.5
7,-28.7,246.8
8,100.7,269.1